# ZnInRe2 meta-GGA SCAN single point on PBEsol structure
data_ZnInRe2
_symmetry_space_group_name_H-M 'I m m m'
_symmetry_Int_Tables_number 71
_symmetry_space_group_name_Hall '-I 2 2'
_cell_length_a 3.0456
_cell_length_b 4.5053
_cell_length_c 9.0500
_cell_angle_alpha 90.00
_cell_angle_beta 90.00
_cell_angle_gamma 90.00
loop_
_atom_site_label
_atom_site_fract_x
_atom_site_fract_y
_atom_site_fract_z
_atom_site_occupancy
Zn1 0.0000 0.0000 0.0000 1
In1 0.0000 0.0000 0.5000 1
Re1 0.0000 0.5000 0.2587 1
# Calculated formation energy, meV per atom: 492.7
# Total energy, eV/f.u.: -187.13